NaMn4S8: relaxed, GGA-PBE.

Output
D(E_F)	0.36	states/eV per atom
DFT total energy	-6.127	eV per atom

Unit cell a=6.6877 b=6.6877 c=21.1878 alpha=90.00 beta=90.00 gamma=120.00
Space group R-3m (No. 166, hexagonal axes)
Asymmetric unit:
Na 0.0000 0.0000 0.0000
Mn 0.0000 0.0000 0.5000
Mn 0.0000 0.5000 0.5000
S 0.0000 0.0000 0.2290
S 0.0005 0.5003 0.2288


Na3MnS: relaxed, GGA-PBE.

Output
D(E_F)	1.45	states/eV per atom
DFT total energy	-2.792	eV per atom
energy above the most stable polymorph in this dataset	0.644	eV per atom

Unit cell a=5.454 b=5.454 c=5.454 alpha=90.00 beta=90.00 gamma=90.00
Space group Pm-3m (No. 221)
Asymmetric unit:
Na 0.000 0.000 0.500
Mn 0.000 0.000 0.000
S 0.500 0.500 0.500


Na2MnS4: relaxed, GGA-PBE.

Output
D(E_F)	0.89	states/eV per atom
DFT total energy	-4.432	eV per atom

Unit cell a=4.691 b=4.691 c=13.944 alpha=90.00 beta=90.00 gamma=90.00
Space group I4/mmm (No. 139)
Asymmetric unit:
Na 0.000 0.000 0.138
Mn 0.000 0.000 0.500
S 0.000 0.000 0.340
S 0.000 0.500 0.000


NaMn2S2: relaxed, GGA-PBE.

Output
D(E_F)	0.55	states/eV per atom
DFT total energy	-5.817	eV per atom

Unit cell a=4.475 b=4.475 c=7.956 alpha=90.00 beta=90.00 gamma=90.00
Space group I4/mmm (No. 139)
Asymmetric unit:
Na 0.000 0.000 0.000
Mn 0.000 0.000 0.358
S 0.000 0.500 0.250


Na6MnS4: relaxed, GGA-PBE.

Output
DFT total energy	-4.067	eV per atom

Unit cell a=8.9983 b=8.9983 c=6.9731 alpha=90.00 beta=90.00 gamma=120.00
Space group P6_3mc (No. 186)
Asymmetric unit:
Na 0.0651 0.5326 0.0000
Na 0.1465 0.2930 0.6684
Mn 0.3333 0.6667 0.3833
S 0.1868 0.3736 0.2747
S 0.3333 0.6667 0.7282


Na3MnS4: relaxed, GGA-PBE.

Output
D(E_F)	0.02	states/eV per atom
DFT total energy	-4.430	eV per atom
energy above the most stable polymorph in this dataset	0.000	eV per atom

Unit cell a=5.986 b=5.986 c=5.986 alpha=90.00 beta=90.00 gamma=90.00
Space group P-43m (No. 215)
Asymmetric unit:
Na 0.000 0.000 0.500
Mn 0.500 0.500 0.500
S 0.296 0.296 0.704